# 1
Material: Li3GaAu
Method: DFT, PBE
State: optimized geometry Values from VASP.

Output
raw total energy	-2.47	eV per atom
D(E_F)	1.99	states/eV/cell
calculated formation energy	-0.06	eV per atom
symmetry	Pm-3m (221)

The structure in Quantum ESPRESSO input format:
```
&SYSTEM
  ibrav = 0, nat = 5, ntyp = 3
/
ATOMIC_SPECIES
Li 6.94 Li.upf
Au 196.97 Au.upf
Ga 69.72 Ga.upf
ATOMIC_POSITIONS angstrom
Li 0.0000 2.4054 0.0000
Li 0.0000 0.0000 2.4054
Li 2.4054 0.0000 0.0000
Au 0.0000 0.0000 0.0000
Ga 2.4054 2.4054 2.4054
CELL_PARAMETERS angstrom
4.8108 0.0000 0.0000
0.0000 4.8108 0.0000
0.0000 0.0000 4.8108
```

***

# 2
Material: Li2Ga3Au8
Method: DFT, PBE
State: optimized geometry Values from VASP.

Output
raw total energy	-2.83	eV per atom
D(E_F)	5.91	states/eV/cell
calculated formation energy	0.18	eV per atom
symmetry	R-3m (166)

The structure in Quantum ESPRESSO input format:
```
&SYSTEM
  ibrav = 0, nat = 13, ntyp = 3
/
ATOMIC_SPECIES
Au 196.97 Au.upf
Li 6.94 Li.upf
Ga 69.72 Ga.upf
ATOMIC_POSITIONS angstrom
Au -3.1119 4.4280 -5.0558
Au -6.9408 4.8572 -6.2013
Au -5.3523 2.2518 -5.4348
Au -3.8476 5.7472 -2.1027
Li -5.4065 6.1977 -3.7754
Au -7.6764 6.1764 -3.2482
Ga -2.7066 3.3427 -1.7852
Au -6.0848 3.3447 -2.5769
Ga -8.0818 7.2617 -6.5188
Li -5.3819 4.4067 -4.5286
Au -5.4361 8.3526 -2.8692
Ga 0.0000 0.0000 0.0000
Au -4.7035 7.2597 -5.7271
CELL_PARAMETERS angstrom
-1.4668 2.5917 -6.2106
-6.5610 0.7354 -1.9629
-2.7606 7.2772 -0.1305
```